## ThSi3Rh5 (PBE)

Data for crystalline ThSi3Rh5 at its relaxed geometry.

- symmetry = Cmcm, No. 63
- crystal system = orthorhombic
- E_form (uncorrected) (eV/atom) = -0.824

a = 6.410 Å, b = 6.410 Å, c = 12.315 Å
α = 90.00°, β = 90.00°, γ = 144.15°
Positions (direct):
Th (0.168, 0.832, 0.750)
Th (0.832, 0.168, 0.250)
Si (0.106, 0.894, 0.250)
Si (0.385, 0.615, 0.039)
Si (0.385, 0.615, 0.461)
Si (0.615, 0.385, 0.539)
Si (0.615, 0.385, 0.961)
Si (0.894, 0.106, 0.750)
Rh (0.000, 0.000, 0.000)
Rh (0.000, 0.000, 0.500)
Rh (0.204, 0.796, 0.078)
Rh (0.204, 0.796, 0.422)
Rh (0.449, 0.551, 0.645)
Rh (0.449, 0.551, 0.855)
Rh (0.551, 0.449, 0.145)
Rh (0.551, 0.449, 0.355)
Rh (0.796, 0.204, 0.578)
Rh (0.796, 0.204, 0.922)

***

## Li2NpPaTe4 (PBE)

Data for crystalline Li2NpPaTe4 at its relaxed geometry.

- symmetry = P2/m, No. 10
- crystal system = monoclinic
- E_form (uncorrected) (eV/atom) = -0.827

a = 7.441 Å, b = 4.288 Å, c = 7.610 Å
α = 90.00°, β = 108.85°, γ = 90.00°
Positions (direct):
Li (0.000, 0.000, 0.000)
Li (0.500, 0.500, 0.000)
Np (0.000, 0.500, 0.500)
Pa (0.500, 0.000, 0.500)
Te (0.248, 0.500, 0.237)
Te (0.257, 0.000, 0.762)
Te (0.743, 0.000, 0.238)
Te (0.752, 0.500, 0.763)

***

## LiYZr (PBE)

Data for crystalline LiYZr at its relaxed geometry.

- symmetry = C2/m, No. 12
- polymorph energy (0 for the lowest one) (meV per atom) = 65
- energy relative to the elements (eV per atom) = 0.13
- crystal system = monoclinic

a = 5.336 Å, b = 5.336 Å, c = 6.549 Å
α = 100.34°, β = 100.34°, γ = 123.11°
Positions (direct):
Li (0.246, 0.754, 0.000)
Li (0.754, 0.246, 0.000)
Y (0.374, 0.374, 0.240)
Y (0.626, 0.626, 0.760)
Zr (0.169, 0.831, 0.500)
Zr (0.831, 0.169, 0.500)

***

## TaSbHRh2 (PBE)

Data for crystalline TaSbHRh2 at its relaxed geometry.

- symmetry = P4/mmm, No. 123
- crystal system = tetragonal
- VASP energy (eV per cell) = -34.87

a = 4.038 Å, b = 4.038 Å, c = 4.221 Å
α = 90.00°, β = 90.00°, γ = 90.00°
Positions (direct):
Ta (0.000, 0.000, 0.000)
Sb (0.500, 0.500, 0.000)
H (0.000, 0.000, 0.500)
Rh (0.000, 0.500, 0.500)
Rh (0.500, 0.000, 0.500)